Material: AgW
Method: DFT, PBE
State: relaxed

Values from the calculation:
The space-group type is Fm-3m. The energy of formation is 2048.3 meV per atom. The calculation puts the spin magnetization at 0.00 μB per atom. For the theoretical density, the calculation gives 12695 kg/m³. The value obtained for the excess energy over the best structure of this formula in the dataset is 1.705 eV/atom.

a = 3.7788 Å, b = 3.7788 Å, c = 3.7788 Å
α = 60.00°, β = 60.00°, γ = 60.00°
Fractional coordinates of all 2 atoms:
1 Ag 0.0000 0.0000 0.0000
2 W 0.5000 0.5000 0.5000

Material: Zn2CrTc
Method: DFT, PBE
State: relaxed

Values from the calculation:
The space-group type is Pmmm. The energy of formation is 205.5 meV per atom. The calculation puts the spin magnetization at 0.33 μB per atom. For the theoretical density, the calculation gives 8503 kg/m³. The value obtained for the excess energy over the best structure of this formula in the dataset is 0.166 eV/atom.

a = 2.5791 Å, b = 4.1400 Å, c = 5.1362 Å
α = 90.00°, β = 90.00°, γ = 90.00°
Last column: magnetic moment on the atom in μB.
Fractional coordinates of all 4 atoms:
1 Cr 0.5000 0.5000 0.2500  1.32
2 Tc 0.5000 0.5000 0.7500  -0.01
3 Zn 0.0000 0.0000 0.0031  -0.01
4 Zn 0.0000 0.0000 0.4969  -0.01

Material: NdScP2
Method: DFT, PBE
State: relaxed

Values from the calculation:
The space-group type is R-3m. The energy of formation is -1472.6 meV per atom. The calculation puts the spin magnetization at 0.00 μB per atom. For the theoretical density, the calculation gives 4725 kg/m³. The value obtained for the excess energy over the best structure of this formula in the dataset is 0.000 eV/atom.

a = 3.9769 Å, b = 3.9769 Å, c = 6.8403 Å
α = 73.10°, β = 73.10°, γ = 60.00°
Fractional coordinates of all 4 atoms:
1 Sc 0.0000 0.0000 0.0000
2 P 0.2584 0.2584 0.2250
3 P 0.7416 0.7416 0.7750
4 Nd 0.5000 0.5000 0.5000

Material: LuScInCo
Method: DFT, PBE
State: relaxed

Values from the calculation:
The space-group type is F-43m. The energy of formation is -237.3 meV per atom. The calculation puts the spin magnetization at 0.24 μB per atom. For the theoretical density, the calculation gives 7982 kg/m³.

a = 4.8746 Å, b = 4.8746 Å, c = 4.8746 Å
α = 60.00°, β = 60.00°, γ = 60.00°
Last column: magnetic moment on the atom in μB.
Fractional coordinates of all 4 atoms:
1 Sc 0.7500 0.7500 0.7500  -0.13
2 Lu 0.2500 0.2500 0.2500  -0.10
3 Co 0.5000 0.5000 0.5000  1.26
4 In 0.0000 0.0000 0.0000  0.04

Material: TmTeBr
Method: DFT, PBE
State: relaxed

Values from the calculation:
The space-group type is Cc. The value obtained for the formation energy without anion corrections is -1402 meV/atom. The calculation puts the spin magnetization at 0.00 μB per atom. For the theoretical density, the calculation gives 5961 kg/m³.

a = 5.8706 Å, b = 8.7949 Å, c = 13.8032 Å
α = 70.50°, β = 77.72°, γ = 70.50°
Fractional coordinates of all 18 atoms:
1 Tm 0.1820 0.6560 0.2801
2 Tm 0.5834 0.2558 0.1316
3 Tm 0.0292 0.7558 0.6316
4 Tm 0.9297 0.2514 0.3563
5 Tm 0.4626 0.7514 0.8563
6 Tm 0.8819 0.1560 0.7801
7 Br 0.8409 0.9291 0.1374
8 Br 0.4352 0.6269 0.0871
9 Br 0.0611 0.8788 0.4068
10 Br 0.0925 0.4291 0.6374
11 Br 0.8508 0.1269 0.5871
12 Br 0.6533 0.3788 0.9068
13 Te 0.6981 0.5959 0.3629
14 Te 0.0659 0.2918 0.1327
15 Te 0.5095 0.7918 0.6327
16 Te 0.4202 0.2643 0.3552
17 Te 0.9603 0.7643 0.8552
18 Te 0.3431 0.0959 0.8629

Material: Mg2ScTiI
Method: DFT, PBE
State: relaxed

Values from the calculation:
The space-group type is P4/mmm. The value obtained for the formation energy without anion corrections is 871 meV/atom. The calculation puts the spin magnetization at 0.00 μB per atom. For the theoretical density, the calculation gives 2805 kg/m³.

a = 5.7967 Å, b = 4.7275 Å, c = 5.7967 Å
α = 90.00°, β = 90.00°, γ = 90.00°
Fractional coordinates of all 5 atoms:
1 I 0.5000 0.5000 0.5000
2 Sc 0.0000 0.0000 0.0000
3 Mg 0.0000 0.0000 0.5000
4 Mg 0.5000 0.0000 0.0000
5 Ti 0.0000 0.5000 0.0000